VASP calculation (PBEsol) on a relaxed structure of Li3Zn.

Cell: 4.059 4.117 7.575 Å, 90.00 90.00 90.00°
Fractional coordinates of all 8 atoms:
Li1 0.000 0.000 0.000
Li2 0.000 0.500 0.250
Li3 0.000 0.500 0.750
Li4 0.500 0.000 0.250
Li5 0.500 0.000 0.750
Li6 0.500 0.500 0.500
Zn1 0.000 0.000 0.500
Zn2 0.500 0.500 0.000

Computed properties:
Symmetry   Immm, No. 71
Energy relative to the elements   -0.3 eV/f.u.

VASP calculation (PBEsol) on a relaxed structure of MgFe2O5.

Cell: 4.984 4.984 9.484 Å, 90.00 90.00 136.63°
Fractional coordinates of all 16 atoms:
Mg1 0.206 0.794 0.750
Mg2 0.794 0.206 0.250
Fe1 0.139 0.861 0.058
Fe2 0.139 0.861 0.442
Fe3 0.861 0.139 0.558
Fe4 0.861 0.139 0.942
O1 0.045 0.955 0.611
O2 0.045 0.955 0.889
O3 0.211 0.789 0.250
O4 0.317 0.683 0.550
O5 0.317 0.683 0.950
O6 0.683 0.317 0.050
O7 0.683 0.317 0.450
O8 0.789 0.211 0.750
O9 0.955 0.045 0.111
O10 0.955 0.045 0.389

Computed properties:
Symmetry   Cmcm, No. 63
Formation energy without anion corrections   -1.55 eV per atom

VASP calculation (PBEsol) on a relaxed structure of BaSbPCl2.

Cell: 5.325 5.325 5.155 Å, 90.00 90.00 90.00°
Fractional coordinates of all 5 atoms:
Ba1 0.000 0.000 0.000
Sb1 0.500 0.500 0.500
P1 0.500 0.500 0.000
Cl1 0.000 0.500 0.500
Cl2 0.500 0.000 0.500

Computed properties:
Symmetry   P4/mmm, No. 123
Formation energy without anion corrections   -0.82 eV per atom

VASP calculation (PBEsol) on a relaxed structure of InRe2Pb.

Cell: 4.148 4.148 8.280 Å, 90.00 90.00 90.00°
Fractional coordinates of all 8 atoms:
In1 0.000 0.000 0.000
In2 0.500 0.500 0.500
Re1 0.000 0.000 0.500
Re2 0.000 0.500 0.750
Re3 0.500 0.000 0.250
Re4 0.500 0.500 0.000
Pb1 0.000 0.500 0.250
Pb2 0.500 0.000 0.750

Computed properties:
Symmetry   I-4m2, No. 119
E above lowest polymorph   0.000 eV per atom
Energy relative to the elements   4.1 eV/f.u.

VASP calculation (PBEsol) on a relaxed structure of YMnSb2.

Cell: 7.184 7.184 7.184 Å, 90.00 90.00 90.00°
Fractional coordinates of all 16 atoms:
Y1 0.000 0.000 0.000
Y2 0.000 0.500 0.500
Y3 0.500 0.000 0.500
Y4 0.500 0.500 0.000
Mn1 0.250 0.250 0.250
Mn2 0.250 0.750 0.750
Mn3 0.750 0.250 0.750
Mn4 0.750 0.750 0.250
Sb1 0.000 0.000 0.500
Sb2 0.000 0.500 0.000
Sb3 0.250 0.250 0.750
Sb4 0.250 0.750 0.250
Sb5 0.500 0.000 0.000
Sb6 0.500 0.500 0.500
Sb7 0.750 0.250 0.250
Sb8 0.750 0.750 0.750

Computed properties:
Symmetry   F-43m, No. 216
Formation energy without anion corrections   0.07 eV per atom

VASP calculation (PBEsol) on a relaxed structure of LiCd2Ga2.

Cell: 3.862 3.862 13.489 Å, 90.00 90.00 90.00°
Fractional coordinates of all 10 atoms:
Li1 0.000 0.000 0.000
Li2 0.500 0.500 0.500
Cd1 0.000 0.000 0.400
Cd2 0.000 0.000 0.600
Cd3 0.500 0.500 0.100
Cd4 0.500 0.500 0.900
Ga1 0.000 0.500 0.250
Ga2 0.000 0.500 0.750
Ga3 0.500 0.000 0.250
Ga4 0.500 0.000 0.750

Computed properties:
Symmetry   I4/mmm, No. 139
Energy relative to the elements   -0.2 eV/f.u.

VASP calculation (PBEsol) on a relaxed structure of Mg2BeC.

Cell: 8.492 8.492 3.309 Å, 90.00 90.00 90.00°
Fractional coordinates of all 16 atoms:
Mg1 0.091 0.750 0.125
Mg2 0.250 0.091 0.875
Mg3 0.250 0.409 0.375
Mg4 0.409 0.750 0.625
Mg5 0.591 0.250 0.625
Mg6 0.750 0.591 0.375
Mg7 0.750 0.909 0.875
Mg8 0.909 0.250 0.125
Be1 0.000 0.000 0.500
Be2 0.000 0.500 0.750
Be3 0.500 0.000 0.250
Be4 0.500 0.500 0.000
C1 0.000 0.000 0.000
C2 0.000 0.500 0.250
C3 0.500 0.000 0.750
C4 0.500 0.500 0.500

Computed properties:
Symmetry   I-42d, No. 122
Energy relative to the elements   0.9 eV/f.u.

VASP calculation (PBEsol) on a relaxed structure of LaCu3Ni2.

Cell: 4.953 4.953 4.034 Å, 90.00 90.00 120.00°
Fractional coordinates of all 6 atoms:
La1 0.000 0.000 0.000
Cu1 0.000 0.500 0.500
Cu2 0.500 0.000 0.500
Cu3 0.500 0.500 0.500
Ni1 0.333 0.667 0.000
Ni2 0.667 0.333 0.000

Computed properties:
Symmetry   P6/mmm, No. 191
Energy relative to the elements   -1.4 eV/f.u.

VASP calculation (PBEsol) on a relaxed structure of ScCr2InGa.

Cell: 4.630 4.630 4.920 Å, 90.00 90.00 90.00°
Fractional coordinates of all 5 atoms:
Sc1 0.000 0.000 0.000
Cr1 0.000 0.500 0.500
Cr2 0.500 0.000 0.500
In1 0.500 0.500 0.000
Ga1 0.500 0.500 0.500

Computed properties:
Symmetry   P4/mmm, No. 123
Energy relative to the elements   4.3 eV/f.u.

VASP calculation (PBEsol) on a relaxed structure of Ir2Rh.

Cell: 5.388 3.813 8.083 Å, 90.00 90.00 90.00°
Fractional coordinates of all 12 atoms:
Ir1 0.125 0.250 0.083
Ir2 0.126 0.250 0.752
Ir3 0.374 0.750 0.252
Ir4 0.375 0.750 0.583
Ir5 0.625 0.250 0.417
Ir6 0.626 0.250 0.748
Ir7 0.874 0.750 0.248
Ir8 0.875 0.750 0.917
Rh1 0.125 0.250 0.415
Rh2 0.375 0.750 0.915
Rh3 0.625 0.250 0.085
Rh4 0.875 0.750 0.585

Computed properties:
Symmetry   Pnma, No. 62
E above lowest polymorph   0.007 eV per atom
Energy relative to the elements   -0.1 eV/f.u.

VASP calculation (PBEsol) on a relaxed structure of InTcO3.

Cell: 4.065 4.065 4.065 Å, 90.00 90.00 90.00°
Fractional coordinates of all 5 atoms:
In1 0.000 0.000 0.000
Tc1 0.500 0.500 0.500
O1 0.000 0.000 0.500
O2 0.000 0.500 0.000
O3 0.500 0.000 0.000

Computed properties:
Symmetry   Pm-3m, No. 221
Formation energy without anion corrections   0.08 eV per atom

VASP calculation (PBEsol) on a relaxed structure of CoOsS2.

Cell: 5.821 5.821 5.821 Å, 90.00 90.00 90.00°
Fractional coordinates of all 16 atoms:
Co1 0.000 0.000 0.000
Co2 0.000 0.500 0.500
Co3 0.500 0.000 0.500
Co4 0.500 0.500 0.000
Os1 0.000 0.000 0.500
Os2 0.000 0.500 0.000
Os3 0.500 0.000 0.000
Os4 0.500 0.500 0.500
S1 0.250 0.250 0.250
S2 0.250 0.250 0.750
S3 0.250 0.750 0.250
S4 0.250 0.750 0.750
S5 0.750 0.250 0.250
S6 0.750 0.250 0.750
S7 0.750 0.750 0.250
S8 0.750 0.750 0.750

Computed properties:
Symmetry   Fm-3m, No. 225
Formation energy without anion corrections   0.27 eV per atom

| no. | volume (Å³/f.u.) | DOS(E_F) (states/eV/cell) |
| --- | --- | --- |
| 1 | 63 | 3.482 |
| 2 | 81 | 11.099 |
| 3 | 146 | 1.107 |
| 4 | 71 | 8.807 |
| 5 | 93 | 11.772 |
| 6 | 101 | 3.603 |
| 7 | 60 | 5.196 |
| 8 | 86 | 1.734 |
| 9 | 105 | 4.956 |
| 10 | 42 | 11.327 |
| 11 | 67 | 5.803 |
| 12 | 49 | 12.566 |